Compound: HfTa2CrC4
Source: Alexandria
Functional: PBE-GGA
Structure: relaxed

Structure (extended XYZ):
```
16
Lattice="1.561 -5.405 0.000 1.561 5.405 0.000 0.000 0.000 10.936" Properties=species:S:1:pos:R:3 pbc="T T T"
Hf 1.561 4.051 8.202
Hf 1.561 -4.051 2.734
Ta 1.561 1.432 5.897
Ta 1.561 1.432 10.507
Ta 1.561 -1.432 0.429
Ta 1.561 -1.432 5.039
Cr 1.561 3.881 2.734
Cr 1.561 -3.881 8.202
C 0.000 0.000 0.000
C 0.000 0.000 5.468
C 1.561 2.562 1.363
C 1.561 2.562 4.105
C 1.561 0.408 8.202
C 1.561 -0.408 2.734
C 1.561 -2.562 6.830
C 1.561 -2.562 9.573
```

Properties
- D(E_F) (states/eV per atom) = 0.343
- energy of formation from the pure elements (eV/atom) = -0.339
- SG = Cmcm, No. 63
- electronic total energy (eV per atom) = -10.361

Compound: PrNd2HoEr2
Source: Alexandria
Functional: PBE-GGA
Structure: relaxed

Structure (extended XYZ):
```
12
Lattice="7.051 0.000 0.000 0.000 9.876 0.000 0.000 0.000 5.677" Properties=species:S:1:pos:R:3 pbc="T T T"
Pr 0.000 0.000 0.000
Pr 3.525 4.938 2.838
Nd 1.745 3.292 0.000
Nd 1.780 8.230 2.838
Nd 5.271 1.646 2.838
Nd 5.305 6.585 0.000
Ho 0.000 4.938 2.838
Ho 3.525 0.000 0.000
Er 1.763 1.647 2.838
Er 1.762 6.585 0.000
Er 5.289 3.292 0.000
Er 5.287 8.230 2.838
```

Properties
- D(E_F) (states/eV per atom) = 1.530
- energy of formation from the pure elements (eV/atom) = 0.066
- SG = Pnnm, No. 58
- electronic total energy (eV per atom) = -4.604

Compound: CuPdPt5
Source: Alexandria
Functional: PBE-GGA
Structure: relaxed

Structure (extended XYZ):
```
14
Lattice="4.524 -3.749 0.000 4.524 3.749 0.000 -2.524 0.000 6.771" Properties=species:S:1:pos:R:3 pbc="T T T"
Cu 2.631 2.078 5.078
Cu 3.893 -2.078 1.693
Pd 2.262 1.875 0.000
Pd 1.000 -1.875 3.386
Pt -0.756 0.682 4.360
Pt 0.507 -0.682 0.974
Pt 1.583 0.737 2.971
Pt 0.321 -0.737 6.357
Pt 3.893 0.542 1.693
Pt 2.631 -0.542 5.078
Pt 6.204 0.737 0.414
Pt 4.941 -0.737 3.800
Pt 6.018 0.682 5.797
Pt 7.280 -0.682 2.411
```

Properties
- D(E_F) (states/eV per atom) = 1.406
- energy of formation from the pure elements (eV/atom) = 0.146
- SG = C2/c, No. 15
- electronic total energy (eV per atom) = -5.496
- polymorph energy (0 for the lowest one) (eV per formula unit) = 0.00

Compound: Li2PaPd4
Source: Alexandria
Functional: PBE-GGA
Structure: relaxed

Structure (extended XYZ):
```
7
Lattice="-3.331 3.331 2.790 3.331 -3.331 2.790 3.331 3.331 -2.790" Properties=species:S:1:pos:R:3 pbc="T T T"
Li 3.331 0.000 0.000
Li 0.000 3.331 0.000
Pa 0.000 0.000 0.000
Pd 1.666 1.666 -1.395
Pd 1.666 -1.666 1.395
Pd -1.666 1.666 1.395
Pd 1.666 1.666 1.395
```

Properties
- D(E_F) (states/eV per atom) = 0.298
- energy of formation from the pure elements (eV/atom) = -0.363
- SG = I4/mmm, No. 139
- electronic total energy (eV per atom) = -5.234
- polymorph energy (0 for the lowest one) (eV per formula unit) = 1.07

Compound: Rb3LiZr3Te8
Source: Alexandria
Functional: PBE-GGA
Structure: relaxed

Structure (extended XYZ):
```
15
Lattice="7.346 -4.248 0.000 7.346 4.248 0.000 -4.890 0.000 8.675" Properties=species:S:1:pos:R:3 pbc="T T T"
Rb 0.000 0.000 0.000
Rb 3.673 2.124 0.000
Rb 3.673 -2.124 0.000
Li -2.445 0.000 4.337
Zr 1.228 2.124 4.337
Zr 1.228 -2.124 4.337
Zr 4.901 0.000 4.337
Te 0.084 0.000 5.974
Te 3.638 2.054 5.975
Te 2.451 0.000 2.651
Te 6.164 2.054 2.700
Te 3.638 -2.054 5.975
Te 7.351 0.000 6.024
Te 6.164 -2.054 2.700
Te 9.718 0.000 2.701
```

Properties
- D(E_F) (states/eV per atom) = 0.213
- SG = C2/m, No. 12
- electronic total energy (eV per atom) = -4.631
- energy relative to the elements, uncorrected (meV per atom) = -925.2

Compound: DyTmI6
Source: Alexandria
Functional: PBE-GGA
Structure: relaxed

Structure (extended XYZ):
```
8
Lattice="3.792 2.189 6.834 -3.792 2.189 6.834 0.000 -4.379 6.834" Properties=species:S:1:pos:R:3 pbc="T T T"
Dy 0.000 0.000 0.000
Tm 0.000 0.000 10.251
I -1.202 -2.173 8.552
I -2.483 -0.045 11.951
I -1.280 2.128 8.552
I 1.280 -2.128 11.951
I 2.483 0.045 8.552
I 1.202 2.173 11.951
```

Properties
- D(E_F) (states/eV per atom) = 0.000
- SG = R-3, No. 148
- electronic total energy (eV per atom) = -3.608
- energy relative to the elements, uncorrected (meV per atom) = -1310.9

Compound: Zn2Ga2Ag7
Source: Alexandria
Functional: PBE-GGA
Structure: relaxed

Structure (extended XYZ):
```
11
Lattice="-2.211 5.921 3.635 2.211 -5.921 3.635 2.211 5.921 -3.635" Properties=species:S:1:pos:R:3 pbc="T T T"
Zn 0.000 0.000 0.000
Zn 0.000 5.921 1.429
Ga 2.211 -2.425 3.522
Ga 2.211 2.425 3.522
Ag 2.211 4.068 -1.620
Ag 2.211 1.656 -0.029
Ag 2.211 0.000 2.324
Ag 0.000 1.852 2.015
Ag 2.211 4.299 1.395
Ag 0.000 1.621 5.030
Ag 0.000 4.264 3.606
```

Properties
- D(E_F) (states/eV per atom) = 0.219
- energy of formation from the pure elements (eV/atom) = 0.004
- SG = Imm2, No. 44
- electronic total energy (eV per atom) = -2.592
- polymorph energy (0 for the lowest one) (eV per formula unit) = 0.00

What did the second record say?
Compound: PrNd2HoEr2
Source: Alexandria
Functional: PBE-GGA
Structure: relaxed

Structure (extended XYZ):
```
12
Lattice="7.051 0.000 0.000 0.000 9.876 0.000 0.000 0.000 5.677" Properties=species:S:1:pos:R:3 pbc="T T T"
Pr 0.000 0.000 0.000
Pr 3.525 4.938 2.838
Nd 1.745 3.292 0.000
Nd 1.780 8.230 2.838
Nd 5.271 1.646 2.838
Nd 5.305 6.585 0.000
Ho 0.000 4.938 2.838
Ho 3.525 0.000 0.000
Er 1.763 1.647 2.838
Er 1.762 6.585 0.000
Er 5.289 3.292 0.000
Er 5.287 8.230 2.838
```

Properties
- D(E_F) (states/eV per atom) = 1.530
- energy of formation from the pure elements (eV/atom) = 0.066
- SG = Pnnm, No. 58
- electronic total energy (eV per atom) = -4.604

Which value of D(E_F) does entry 7 give?
0.219 states/eV per atom

Which of these has the highest D(E_F)?
PrNd2HoEr2

Look up the electronic total energy of the second one.
-4.604 eV per atom